Material: CaCrPbF6
Method: DFT, PBE with a Hubbard U
State: optimized geometry

```
18
Lattice="5.243 0.000 0.000 0.000 5.243 0.000 0.000 0.000 10.965" Properties=species:S:1:pos:R:3 pbc="T T T"
Ca 0.000 0.000 0.000
Ca 2.621 2.621 5.482
Cr 0.000 0.000 3.697
Cr 2.621 2.621 9.179
Pb 0.000 0.000 7.323
Pb 2.621 2.621 1.841
F 0.918 0.918 1.879
F 1.020 1.020 5.381
F 1.177 1.177 9.306
F 1.444 3.799 3.824
F 1.601 3.641 10.863
F 1.703 3.540 7.362
F 3.540 1.703 7.362
F 3.641 1.601 10.863
F 3.799 1.444 3.824
F 4.066 4.066 9.306
F 4.223 4.223 5.381
F 4.324 4.324 1.879
```

Calculated values
As for the space group: No. 102. For the total energy, the calculation gives -5.635 eV/atom. The magnetization comes out at 4.00 μB per formula unit. The crystal system is tetragonal.